(1)
The following is a DFT calculation (PBE) of a relaxed structure of NbFeB.

Geometry as POSCAR:
```
NbFeB
1.0
4.4611 -1.7593 0.0000
4.4611 1.7593 0.0000
-1.4080 0.0000 4.4697
Nb Fe B
2 2 2
Direct
0.0000 0.0000 0.0000
0.6382 0.6382 0.5901
0.3056 0.3056 0.1125
0.9065 0.9065 0.4645
0.3611 0.3611 0.6715
0.6978 0.6978 0.1132
```

VASP energy	-51.7	eV/cell
magnetization	0.00	μB per formula unit



(2)
The following is a DFT calculation (PBE) of a relaxed structure of NbFeB.

Geometry as POSCAR:
```
NbFeB
1.0
4.5391 -1.6471 0.0000
4.5391 1.6471 0.0000
-2.6307 0.0000 4.7470
Nb Fe B
2 2 2
Direct
0.0000 0.0000 0.0000
0.5807 0.5807 0.5644
0.2777 0.2777 0.5324
0.7544 0.7544 0.1447
0.2687 0.2687 0.9147
0.8964 0.8964 0.5406
```

VASP energy	-51.7	eV/cell
magnetization	0.40	μB per formula unit



(3)
The following is a DFT calculation (PBE) of a relaxed structure of NbFeB.

Geometry as POSCAR:
```
NbFeB
1.0
6.7841 0.0000 0.0000
-3.3920 5.8752 0.0000
0.0000 0.0000 2.8612
Nb Fe B
3 3 3
Direct
0.0000 0.5619 0.0000
0.4381 0.4381 0.0000
0.5619 0.0000 0.0000
0.0000 0.2082 0.0000
0.2082 0.0000 0.0000
0.7918 0.7918 0.0000
0.0000 0.0000 0.5000
0.3333 0.6667 0.5000
0.6667 0.3333 0.5000
```

VASP energy	-71.3	eV/cell
magnetization	1.06	μB per formula unit



(4)
The following is a DFT calculation (PBE) of a relaxed structure of NbFeB.

Geometry as POSCAR:
```
NbFeB
1.0
10.4439 0.0000 0.0000
0.0000 3.1818 0.0000
0.0000 0.0000 6.0404
Nb Fe B
6 6 6
Direct
0.0448 0.0000 0.2404
0.2500 0.0000 0.8594
0.4552 0.0000 0.2404
0.5448 0.0000 0.7596
0.7500 0.0000 0.1406
0.9552 0.0000 0.7596
0.1291 0.5000 0.5733
0.2500 0.5000 0.2114
0.3709 0.5000 0.5733
0.6291 0.5000 0.4267
0.7500 0.5000 0.7886
0.8709 0.5000 0.4267
0.0853 0.5000 0.9517
0.2500 0.0000 0.4514
0.4147 0.5000 0.9517
0.5853 0.5000 0.0483
0.7500 0.0000 0.5486
0.9147 0.5000 0.0483
```

VASP energy	-161.0	eV/cell
magnetization	0.13	μB per formula unit



(5)
The following is a DFT calculation (PBE) of a relaxed structure of Nb2FeB2.

Geometry as POSCAR:
```
Nb2FeB2
1.0
5.7585 0.0000 0.0000
0.0000 5.7585 0.0000
0.0000 0.0000 3.4132
Nb Fe B
4 2 4
Direct
0.1795 0.3205 0.0000
0.3205 0.8205 0.0000
0.6795 0.1795 0.0000
0.8205 0.6795 0.0000
0.0000 0.0000 0.5000
0.5000 0.5000 0.5000
0.1147 0.6147 0.5000
0.3853 0.1147 0.5000
0.6147 0.8853 0.5000
0.8853 0.3853 0.5000
```

excess energy over the best structure of this formula in the dataset	2.2	kJ per mole of atoms
VASP energy	-89.7	eV/cell
magnetization	0.00	μB per formula unit



(6)
The following is a DFT calculation (PBE) of a relaxed structure of Nb3FeB.

Geometry as POSCAR:
```
Nb3FeB
1.0
4.3037 0.0000 0.0000
0.0000 4.3037 0.0000
0.0000 0.0000 4.3037
Nb Fe B
3 1 1
Direct
0.0000 0.0000 0.5000
0.0000 0.5000 0.0000
0.5000 0.0000 0.0000
0.5000 0.5000 0.5000
0.0000 0.0000 0.0000
```

excess energy over the best structure of this formula in the dataset	0.0	kJ per mole of atoms
VASP energy	-43.6	eV/cell
magnetization	0.00	μB per formula unit



(7)
The following is a DFT calculation (PBE) of a relaxed structure of NbFe10B3.

Geometry as POSCAR:
```
NbFe10B3
1.0
0.0000 5.3172 5.3172
5.3172 0.0000 5.3172
5.3172 5.3172 0.0000
Nb Fe B
2 20 6
Direct
0.2500 0.2500 0.2500
0.7500 0.7500 0.7500
0.0000 0.0000 0.3363
0.0000 0.0000 0.6637
0.0000 0.3363 0.0000
0.0000 0.3363 0.6637
0.0000 0.6637 0.0000
0.0000 0.6637 0.3363
0.1513 0.6162 0.6162
0.3363 0.0000 0.0000
0.3363 0.0000 0.6637
0.3363 0.6637 0.0000
0.3838 0.3838 0.3838
0.3838 0.3838 0.8487
0.3838 0.8487 0.3838
0.6162 0.1513 0.6162
0.6162 0.6162 0.1513
0.6162 0.6162 0.6162
0.6637 0.0000 0.0000
0.6637 0.0000 0.3363
0.6637 0.3363 0.0000
0.8487 0.3838 0.3838
0.2745 0.2745 0.7255
0.2745 0.7255 0.2745
0.2745 0.7255 0.7255
0.7255 0.2745 0.2745
0.7255 0.2745 0.7255
0.7255 0.7255 0.2745
```

VASP energy	-235.2	eV/cell
magnetization	18.52	μB per formula unit



(8)
The following is a DFT calculation (PBE) of a relaxed structure of Nb3Fe5B2.

Geometry as POSCAR:
```
Nb3Fe5B2
1.0
8.8000 0.0000 0.0000
0.0000 8.8000 0.0000
0.0000 0.0000 2.9773
Nb Fe B
6 10 4
Direct
0.0000 0.0000 0.0000
0.1750 0.3250 0.0000
0.3250 0.8250 0.0000
0.5000 0.5000 0.0000
0.6750 0.1750 0.0000
0.8250 0.6750 0.0000
0.0000 0.5000 0.5000
0.0704 0.7774 0.5000
0.2226 0.0704 0.5000
0.2774 0.5704 0.5000
0.4296 0.2774 0.5000
0.5000 0.0000 0.5000
0.5704 0.7226 0.5000
0.7226 0.4296 0.5000
0.7774 0.9296 0.5000
0.9296 0.2226 0.5000
0.1194 0.6194 0.0000
0.3806 0.1194 0.0000
0.6194 0.8806 0.0000
0.8806 0.3806 0.0000
```

VASP energy	-178.8	eV/cell
magnetization	0.32	μB per formula unit



What energy of formation from the pure elements values result from the calculations? In sequence: -221, -221, 479, -540, -578, 343, -204, -354 meV/atom.